1.
# Ga2RuCl2 | Alexandria via LeMat-Bulk | PBE-GGA | optimized geometry
# total magnetization = 0.51 μB/cell
# energy above the most stable polymorph in this dataset = 0.0 meV/atom
# V = 214.5 Å³/cell
data_Ga2RuCl2
_symmetry_space_group_name_H-M 'P 4/m b m'
_symmetry_Int_Tables_number 127
_symmetry_space_group_name_Hall '-P 4 2ab'
_cell_length_a 6.339
_cell_length_b 6.339
_cell_length_c 5.337
_cell_angle_alpha 90.00
_cell_angle_beta 90.00
_cell_angle_gamma 90.00
loop_
_atom_site_label
_atom_site_fract_x
_atom_site_fract_y
_atom_site_fract_z
Ga1 0.219 0.281 0.000
Ru1 0.000 0.000 0.500
Cl1 0.171 0.671 0.500

***

2.
# Ho4C7 | Alexandria via LeMat-Bulk | PBE-GGA | optimized geometry
# total magnetization = 0.00 μB/cell
# energy above the most stable polymorph in this dataset = 0.0 meV/atom
# ΔH_f (0 K) = -0.29 eV/atom
# V = 314.6 Å³/cell
data_Ho4C7
_symmetry_space_group_name_H-M 'P 1 21/c 1'
_symmetry_Int_Tables_number 14
_symmetry_space_group_name_Hall '-P 2ybc'
_cell_length_a 3.691
_cell_length_b 13.710
_cell_length_c 6.432
_cell_angle_alpha 90.00
_cell_angle_beta 104.86
_cell_angle_gamma 90.00
loop_
_atom_site_label
_atom_site_fract_x
_atom_site_fract_y
_atom_site_fract_z
Ho1 0.056 0.162 0.161
Ho2 0.366 0.055 0.739
C1 0.000 0.000 0.000
C2 0.268 0.604 0.051
C3 0.377 0.697 0.046
C4 0.468 0.215 0.924

***

3.
# Pr3Be2GaPt9 | Alexandria via LeMat-Bulk | PBE-GGA | optimized geometry
# total magnetization = 0.00 μB/cell
# ΔH_f (0 K) = -0.81 eV/atom
# V = 281.0 Å³/cell
data_Pr3Be2GaPt9
_symmetry_space_group_name_H-M 'P -3 m 1'
_symmetry_Int_Tables_number 164
_symmetry_space_group_name_Hall '-P 3 2"'
_cell_length_a 5.8890
_cell_length_b 5.8890
_cell_length_c 9.3562
_cell_angle_alpha 90.00
_cell_angle_beta 90.00
_cell_angle_gamma 120.00
loop_
_atom_site_label
_atom_site_fract_x
_atom_site_fract_y
_atom_site_fract_z
Pr1 0.0000 0.0000 0.0000
Pr2 0.3333 0.6667 0.6275
Be1 0.3333 0.6667 0.1515
Ga1 0.0000 0.0000 0.5000
Pt1 0.0000 0.5000 0.0000
Pt2 0.1644 0.3288 0.2979

***

4.
# Ce3Ge7Pd2 | Alexandria via LeMat-Bulk | PBE-GGA | optimized geometry
# total magnetization = 1.54 μB/cell
# ΔH_f (0 K) = -0.66 eV/atom
# V = 246.0 Å³/cell
data_Ce3Ge7Pd2
_symmetry_space_group_name_H-M 'P 1 2/m 1'
_symmetry_Int_Tables_number 10
_symmetry_space_group_name_Hall '-P 2y'
_cell_length_a 4.360
_cell_length_b 4.331
_cell_length_c 13.199
_cell_angle_alpha 90.00
_cell_angle_beta 99.28
_cell_angle_gamma 90.00
loop_
_atom_site_label
_atom_site_fract_x
_atom_site_fract_y
_atom_site_fract_z
Ce1 0.000 0.000 0.000
Ce2 0.312 0.500 0.633
Ge1 0.132 0.500 0.167
Ge2 0.227 0.000 0.450
Ge3 0.421 0.000 0.834
Ge4 0.500 0.500 0.000
Pd1 0.117 0.000 0.260

***

5.
# Ta2FeAs | Alexandria via LeMat-Bulk | PBE-GGA | optimized geometry
# total magnetization = 1.36 μB/cell
# ΔH_f (0 K) = -0.03 eV/atom
# V = 62.4 Å³/cell
data_Ta2FeAs
_symmetry_space_group_name_H-M 'P m m m'
_symmetry_Int_Tables_number 47
_symmetry_space_group_name_Hall '-P 2 2'
_cell_length_a 3.495
_cell_length_b 4.056
_cell_length_c 4.399
_cell_angle_alpha 90.00
_cell_angle_beta 90.00
_cell_angle_gamma 90.00
loop_
_atom_site_label
_atom_site_fract_x
_atom_site_fract_y
_atom_site_fract_z
Ta1 0.000 0.000 0.000
Ta2 0.500 0.000 0.500
Fe1 0.000 0.500 0.500
As1 0.500 0.500 0.000

***

6.
# PmP2Au | Alexandria via LeMat-Bulk | PBE-GGA | optimized geometry
# total magnetization = 0.00 μB/cell
# energy above the most stable polymorph in this dataset = 267.6 meV/atom
# ΔH_f (0 K) = -0.22 eV/atom
# V = 327.3 Å³/cell
data_PmP2Au
_symmetry_space_group_name_H-M 'R -3 m'
_symmetry_Int_Tables_number 166
_symmetry_space_group_name_Hall '-R 3 2"'
_cell_length_a 5.0227
_cell_length_b 5.0227
_cell_length_c 14.9832
_cell_angle_alpha 90.00
_cell_angle_beta 90.00
_cell_angle_gamma 120.00
loop_
_atom_site_label
_atom_site_fract_x
_atom_site_fract_y
_atom_site_fract_z
Pm1 0.0000 0.0000 0.0000
P1 0.0000 0.0000 0.3436
Au1 0.0000 0.0000 0.5000

***

Number 1: DOS(E_F) 0.46 states/eV/atom. Number 2: DOS(E_F) 0.03 states/eV/atom. Number 3: DOS(E_F) 0.30 states/eV/atom. Number 4: DOS(E_F) 1.22 states/eV/atom. Number 5: DOS(E_F) 0.89 states/eV/atom. Number 6: DOS(E_F) 0.30 states/eV/atom.